# BaScP2, optimized geometry, DFT PBE
data_BaScP2
_cell_length_a 4.985
_cell_length_b 4.985
_cell_length_c 4.985
_cell_angle_alpha 60.00
_cell_angle_beta 60.00
_cell_angle_gamma 60.00
_space_group_name_H-M_alt 'P 1'
_space_group_IT_number 1
loop_
_space_group_symop_operation_xyz
'x,y,z'
loop_
_atom_site_label
_atom_site_fract_x
_atom_site_fract_y
_atom_site_fract_z
_atom_site_occupancy
Ba1 0.000 0.000 0.000 1
Sc1 0.250 0.250 0.250 1
P1 0.500 0.500 0.500 1
P2 0.750 0.750 0.750 1
# Volume = 21.896 A^3/atom
# Final energy = -4.7189 eV per atom
# Energy of formation from the pure elements = 0.0496 eV per atom


# AcMnBi2, optimized geometry, DFT PBE
data_AcMnBi2
_cell_length_a 5.082
_cell_length_b 5.082
_cell_length_c 4.686
_cell_angle_alpha 90.00
_cell_angle_beta 90.00
_cell_angle_gamma 90.00
_space_group_name_H-M_alt 'P 1'
_space_group_IT_number 1
loop_
_space_group_symop_operation_xyz
'x,y,z'
loop_
_atom_site_label
_atom_site_fract_x
_atom_site_fract_y
_atom_site_fract_z
_atom_site_occupancy
Ac1 0.000 0.000 0.000 1
Mn1 0.500 0.500 0.000 1
Bi1 0.000 0.500 0.500 1
Bi2 0.500 0.000 0.500 1
# Volume = 30.257 A^3/atom
# Final energy = -5.3910 eV per atom
# Energy of formation from the pure elements = -0.1310 eV per atom


# Ac2Ga6CoPt, optimized geometry, DFT PBE
data_Ac2Ga6CoPt
_cell_length_a 6.483
_cell_length_b 6.544
_cell_length_c 6.920
_cell_angle_alpha 62.85
_cell_angle_beta 62.34
_cell_angle_gamma 60.46
_space_group_name_H-M_alt 'P 1'
_space_group_IT_number 1
loop_
_space_group_symop_operation_xyz
'x,y,z'
loop_
_atom_site_label
_atom_site_fract_x
_atom_site_fract_y
_atom_site_fract_z
_atom_site_occupancy
Ac1 0.216 0.207 0.360 1
Ac2 0.784 0.793 0.640 1
Ga1 0.255 0.264 0.813 1
Ga2 0.260 0.665 0.818 1
Ga3 0.334 0.736 0.185 1
Ga4 0.666 0.264 0.815 1
Ga5 0.740 0.335 0.182 1
Ga6 0.745 0.736 0.187 1
Co1 0.500 0.500 0.500 1
Pt1 0.000 0.000 0.000 1
# Volume = 21.616 A^3/atom
# Final energy = -4.4414 eV per atom
# Energy of formation from the pure elements = -0.4889 eV per atom


# La2PmTe2O2, optimized geometry, DFT PBE
data_La2PmTe2O2
_cell_length_a 8.985
_cell_length_b 8.985
_cell_length_c 8.985
_cell_angle_alpha 150.71
_cell_angle_beta 150.71
_cell_angle_gamma 41.89
_space_group_name_H-M_alt 'P 1'
_space_group_IT_number 1
loop_
_space_group_symop_operation_xyz
'x,y,z'
loop_
_atom_site_label
_atom_site_fract_x
_atom_site_fract_y
_atom_site_fract_z
_atom_site_occupancy
La1 0.114 0.114 0.000 1
La2 0.886 0.886 0.000 1
Pm1 0.500 0.500 0.000 1
Te1 0.316 0.316 0.000 1
Te2 0.684 0.684 0.000 1
O1 0.000 0.500 0.500 1
O2 0.500 0.000 0.500 1
# ΔE_f (raw) = -2192 meV per atom
# Volume = 24.736 A^3/atom
# Final energy = -6.5925 eV per atom


Number 1: ρ 4.6 g/cm3. Number 2: ρ 9.6 g/cm3. Number 3: ρ 8.7 g/cm3. Number 4: ρ 6.8 g/cm3.